DFT (PBE) results for crystalline K2Tl2InPb at its relaxed geometry.

Geometry as POSCAR:
```
K2Tl2InPb
1.0
6.9370 0.0000 0.0000
0.0000 6.8902 0.0000
-3.4685 -3.4451 8.9965
K Tl In Pb
4 4 2 2
Direct
0.5919 0.8307 0.6613
0.0694 0.3307 0.6613
0.9306 0.6693 0.3387
0.4081 0.1693 0.3387
0.6155 0.3800 0.7599
0.3845 0.6200 0.2401
0.8556 0.1200 0.2401
0.1444 0.8800 0.7599
0.5000 0.2500 0.0000
0.5000 0.7500 0.0000
0.0000 0.2500 0.0000
0.0000 0.7500 0.0000
```

Calculated values
The calculation puts the magnetization at 0.00 μB per atom. For the total energy, the calculation gives -2.383 eV/atom. The formation energy from the elements is -154.0 meV/atom. As for the density of states at the Fermi level: 0.33 states/eV/atom.